Entry 1:
Entry from Alexandria via LeMat-Bulk: a relaxed structure of ZrAl3Si (GGA-PBE).

Properties
The calculation puts the total energy at -4.468 eV/atom. Its polymorph energy (0 for the lowest one) is 536 meV per atom.

Lattice parameters (Å, degrees): 4.6977 4.6977 4.6977 90.00 90.00 90.00
Atoms (fractional coordinates):
Si: 0.0000 0.0000 0.0000
Al: 0.0000 0.5000 0.0000
Al: 0.0000 0.0000 0.5000
Al: 0.5000 0.0000 0.0000
Zr: 0.5000 0.5000 0.5000

***

Entry 2:
Entry from Alexandria via LeMat-Bulk: a relaxed structure of Zr3AlSi (GGA-PBE).

Properties
The calculation puts the total energy at -7.247 eV/atom. Its polymorph energy (0 for the lowest one) is 110 meV per atom.

Lattice parameters (Å, degrees): 6.6773 6.6773 6.6773 90.00 90.00 90.00
Atoms (fractional coordinates):
Si: 0.0000 0.5000 0.5000
Si: 0.5000 0.0000 0.5000
Si: 0.5000 0.5000 0.0000
Al: 0.5000 0.0000 0.0000
Al: 0.0000 0.5000 0.0000
Al: 0.0000 0.0000 0.5000
Zr: 0.5000 0.5000 0.5000
Zr: 0.2409 0.2409 0.2409
Zr: 0.7591 0.7591 0.2409
Zr: 0.7591 0.2409 0.7591
Zr: 0.2409 0.7591 0.7591
Zr: 0.2409 0.2409 0.7591
Zr: 0.7591 0.7591 0.7591
Zr: 0.2409 0.7591 0.2409
Zr: 0.7591 0.2409 0.2409

***

Entry 3:
Entry from Alexandria via LeMat-Bulk: a relaxed structure of ZrAl2Si (GGA-PBE).

Properties
The calculation puts the total energy at -5.465 eV/atom.

Lattice parameters (Å, degrees): 8.9004 8.9004 8.9004 20.05 20.05 20.05
Atoms (fractional coordinates):
Si: 0.5053 0.5053 0.5053
Al: 0.9952 0.9952 0.9952
Al: 0.2460 0.2460 0.2460
Zr: 0.7535 0.7535 0.7535

***

Entry 4:
Entry from Alexandria via LeMat-Bulk: a relaxed structure of Zr2Al2Si (GGA-PBE).

Properties
The calculation puts the total energy at -6.294 eV/atom. Its polymorph energy (0 for the lowest one) is 252 meV per atom.

Lattice parameters (Å, degrees): 6.9519 6.9519 4.2395 90.00 90.00 90.00
Atoms (fractional coordinates):
Si: 0.0000 0.0000 0.0000
Si: 0.5000 0.5000 0.0000
Al: 0.1404 0.6404 0.5000
Al: 0.6404 0.8596 0.5000
Al: 0.8596 0.3596 0.5000
Al: 0.3596 0.1404 0.5000
Zr: 0.3377 0.8377 0.0000
Zr: 0.8377 0.6623 0.0000
Zr: 0.6623 0.1623 0.0000
Zr: 0.1623 0.3377 0.0000

***

Entry 5:
Entry from Alexandria via LeMat-Bulk: a relaxed structure of Zr2AlSi4 (GGA-PBE).

Properties
The calculation puts the total energy at -6.246 eV/atom. Its polymorph energy (0 for the lowest one) is 231 meV per atom.

Lattice parameters (Å, degrees): 3.0905 3.4977 23.3833 90.00 90.00 92.61
Atoms (fractional coordinates):
Si: 0.1205 0.9832 0.0303
Si: 0.8795 0.0168 0.5303
Si: 0.0156 0.0031 0.1710
Si: 0.9844 0.9969 0.6710
Si: 0.9002 0.0272 0.3144
Si: 0.0998 0.9728 0.8144
Si: 0.3874 0.5144 0.4748
Si: 0.6126 0.4856 0.9748
Al: 0.8813 0.0145 0.4192
Al: 0.1187 0.9855 0.9192
Zr: 0.4051 0.5199 0.2443
Zr: 0.5949 0.4801 0.7443
Zr: 0.6165 0.4852 0.0965
Zr: 0.3835 0.5148 0.5965

***

Entry 6:
Entry from Alexandria via LeMat-Bulk: a relaxed structure of Zr2AlSi3 (GGA-PBE).

Properties
The calculation puts the total energy at -6.555 eV/atom. Its polymorph energy (0 for the lowest one) is 175 meV per atom.

Lattice parameters (Å, degrees): 5.2284 5.2284 8.1669 90.00 90.00 119.93
Atoms (fractional coordinates):
Si: 0.8243 0.6489 0.2500
Si: 0.3511 0.1757 0.2500
Si: 0.8245 0.1755 0.2500
Si: 0.1757 0.3511 0.7500
Si: 0.6489 0.8243 0.7500
Si: 0.1755 0.8245 0.7500
Al: 0.0000 0.0000 0.0000
Al: 0.0000 0.0000 0.5000
Zr: 0.3333 0.6667 0.0570
Zr: 0.6667 0.3333 0.5570
Zr: 0.6667 0.3333 0.9430
Zr: 0.3333 0.6667 0.4430

***

Entry 7:
Entry from Alexandria via LeMat-Bulk: a relaxed structure of Zr4AlSi2 (GGA-PBE).

Properties
The calculation puts the total energy at -7.505 eV/atom. Its polymorph energy (0 for the lowest one) is 0 meV per atom.

Lattice parameters (Å, degrees): 3.9199 6.8514 10.8615 75.49 90.00 90.00
Atoms (fractional coordinates):
Si: 0.2500 0.7065 0.0797
Si: 0.7500 0.2935 0.9203
Si: 0.2500 0.6904 0.5877
Si: 0.7500 0.3096 0.4123
Al: 0.7500 0.8454 0.7150
Al: 0.2500 0.1546 0.2850
Zr: 0.2500 0.0579 0.8699
Zr: 0.7500 0.9421 0.1301
Zr: 0.2500 0.1107 0.5689
Zr: 0.7500 0.8893 0.4311
Zr: 0.2500 0.5894 0.3456
Zr: 0.7500 0.4106 0.6544
Zr: 0.2500 0.5744 0.8630
Zr: 0.7500 0.4256 0.1370

***

Entry 8:
Entry from Alexandria via LeMat-Bulk: a relaxed structure of ZrAl2Si (GGA-PBE).

Properties
The calculation puts the total energy at -5.569 eV/atom.

Lattice parameters (Å, degrees): 4.8971 5.3291 5.4704 90.00 90.00 90.00
Atoms (fractional coordinates):
Zr: 0.0000 0.7599 0.7500
Zr: 0.0000 0.2401 0.2500
Al: 0.5000 0.0000 0.0000
Al: 0.5000 0.0000 0.5000
Al: 0.5000 0.4686 0.7500
Al: 0.5000 0.5314 0.2500
Si: 0.0000 0.2582 0.7500
Si: 0.0000 0.7418 0.2500